# YTm2Al3CuSi2, relaxed, DFT PBE-GGA
# - magnetic moment (μB/f.u.) = 0.0
# - final energy (eV/atom) = -5.21
data_YTm2Al3CuSi2
_chemical_formula_sum 'Y2 Tm4 Al6 Cu2 Si4'
_cell_length_a 4.1450
_cell_length_b 11.9315
_cell_length_c 6.8723
_cell_angle_alpha 90.00
_cell_angle_beta 90.00
_cell_angle_gamma 90.00
_space_group_name_H-M_alt 'A m m 2'
_space_group_IT_number 38
loop_
_space_group_symop_operation_xyz
'x,y,z'
'-x,-y,z'
'-x,y,z'
'x,-y,z'
'x,y+1/2,z+1/2'
'-x,-y+1/2,z+1/2'
'-x,y+1/2,z+1/2'
'x,-y+1/2,z+1/2'
loop_
_atom_site_label
_atom_site_type_symbol
_atom_site_fract_x
_atom_site_fract_y
_atom_site_fract_z
Y1 Y 0.0000 0.0000 0.0000
Tm1 Tm 0.0000 0.2033 0.6099
Al1 Al 0.5000 0.0000 0.6447
Al2 Al 0.5000 0.1194 0.2889
Cu1 Cu 0.0000 0.0000 0.4109
Si1 Si 0.5000 0.1682 0.9064

# BiPbW4N2, relaxed, DFT PBE-GGA
# - magnetic moment (μB/f.u.) = 0.0
# - final energy (eV/atom) = -8.94
data_BiPbW4N2
_chemical_formula_sum 'Bi1 Pb1 W4 N2'
_cell_length_a 3.4105
_cell_length_b 3.4105
_cell_length_c 12.9254
_cell_angle_alpha 90.00
_cell_angle_beta 90.00
_cell_angle_gamma 120.00
_space_group_name_H-M_alt 'P -6 m 2'
_space_group_IT_number 187
_space_group_name_Hall 'P -6 2'
loop_
_atom_site_label
_atom_site_type_symbol
_atom_site_fract_x
_atom_site_fract_y
_atom_site_fract_z
Bi1 Bi 0.0000 0.0000 0.0000
Pb1 Pb 0.6667 0.3333 0.5000
W1 W 0.0000 0.0000 0.3208
W2 W 0.6667 0.3333 0.1805
N1 N 0.3333 0.6667 0.2537

# ErBi, relaxed, DFT PBE-GGA
# - magnetic moment (μB/f.u.) = 0.0
# - final energy (eV/atom) = -4.64
data_ErBi
_chemical_formula_sum 'Er4 Bi4'
_cell_length_a 6.9924
_cell_length_b 6.9924
_cell_length_c 6.9924
_cell_angle_alpha 90.00
_cell_angle_beta 90.00
_cell_angle_gamma 90.00
_space_group_name_H-M_alt 'F -4 3 m'
_space_group_IT_number 216
_space_group_name_Hall 'F -4 2 3'
loop_
_atom_site_label
_atom_site_type_symbol
_atom_site_fract_x
_atom_site_fract_y
_atom_site_fract_z
Er1 Er 0.0000 0.0000 0.0000
Bi1 Bi 0.2500 0.2500 0.2500

# BeReW2, relaxed, DFT PBE-GGA
# - magnetic moment (μB/f.u.) = 0.0
# - final energy (eV/atom) = -10.28
data_BeReW2
_chemical_formula_sum 'Be4 Re4 W8'
_cell_length_a 6.1293
_cell_length_b 6.1293
_cell_length_c 6.1293
_cell_angle_alpha 90.00
_cell_angle_beta 90.00
_cell_angle_gamma 90.00
_space_group_name_H-M_alt 'F -4 3 m'
_space_group_IT_number 216
_space_group_name_Hall 'F -4 2 3'
loop_
_atom_site_label
_atom_site_type_symbol
_atom_site_fract_x
_atom_site_fract_y
_atom_site_fract_z
Be1 Be 0.0000 0.0000 0.0000
Re1 Re 0.2500 0.2500 0.2500
W1 W 0.0000 0.0000 0.5000
W2 W 0.2500 0.2500 0.7500

# MgTaInOs, relaxed, DFT PBE-GGA
# - magnetic moment (μB/f.u.) = 0.0
# - final energy (eV/atom) = -6.85
# - polymorph energy (0 for the lowest one) (meV/atom) = 0
data_MgTaInOs
_chemical_formula_sum 'Mg4 Ta4 In4 Os4'
_cell_length_a 6.5000
_cell_length_b 6.5000
_cell_length_c 6.5000
_cell_angle_alpha 90.00
_cell_angle_beta 90.00
_cell_angle_gamma 90.00
_space_group_name_H-M_alt 'F -4 3 m'
_space_group_IT_number 216
_space_group_name_Hall 'F -4 2 3'
loop_
_atom_site_label
_atom_site_type_symbol
_atom_site_fract_x
_atom_site_fract_y
_atom_site_fract_z
Mg1 Mg 0.0000 0.0000 0.0000
Ta1 Ta 0.2500 0.2500 0.2500
In1 In 0.2500 0.2500 0.7500
Os1 Os 0.0000 0.0000 0.5000

# Tb3ZrO, relaxed, DFT PBE-GGA
# - magnetic moment (μB/f.u.) = 0.0
# - final energy (eV/atom) = -6.58
data_Tb3ZrO
_chemical_formula_sum 'Tb3 Zr1 O1'
_cell_length_a 4.8333
_cell_length_b 4.8333
_cell_length_c 4.8333
_cell_angle_alpha 90.00
_cell_angle_beta 90.00
_cell_angle_gamma 90.00
_space_group_name_H-M_alt 'P m -3 m'
_space_group_IT_number 221
_space_group_name_Hall '-P 4 2 3'
loop_
_atom_site_label
_atom_site_type_symbol
_atom_site_fract_x
_atom_site_fract_y
_atom_site_fract_z
Tb1 Tb 0.0000 0.0000 0.5000
Zr1 Zr 0.5000 0.5000 0.5000
O1 O 0.0000 0.0000 0.0000

# LuGaPO, relaxed, DFT PBE-GGA
# - magnetic moment (μB/f.u.) = 0.0
# - final energy (eV/atom) = -5.81
# - polymorph energy (0 for the lowest one) (meV/atom) = 264
data_LuGaPO
_chemical_formula_sum 'Lu2 Ga2 P2 O2'
_cell_length_a 5.4926
_cell_length_b 5.4926
_cell_length_c 4.6062
_cell_angle_alpha 90.00
_cell_angle_beta 90.00
_cell_angle_gamma 90.00
_space_group_name_H-M_alt 'P 4/n m m'
_space_group_IT_number 129
loop_
_space_group_symop_operation_xyz
'x,y,z'
'-x,-y,-z'
'-y+1/2,x,z'
'y+1/2,-x,-z'
'-x+1/2,-y+1/2,z'
'x+1/2,y+1/2,-z'
'y,-x+1/2,z'
'-y,x+1/2,-z'
'x+1/2,-y,-z'
'-x+1/2,y,z'
'-y,-x,-z'
'y,x,z'
'-x,y+1/2,-z'
'x,-y+1/2,z'
'y+1/2,x+1/2,-z'
'-y+1/2,-x+1/2,z'
loop_
_atom_site_label
_atom_site_type_symbol
_atom_site_fract_x
_atom_site_fract_y
_atom_site_fract_z
Lu1 Lu 0.2500 0.7500 0.0000
Ga1 Ga 0.2500 0.2500 0.4966
P1 P 0.2500 0.2500 0.9964
O1 O 0.2500 0.7500 0.5000

# MgBOs2, relaxed, DFT PBE-GGA
# - magnetic moment (μB/f.u.) = 0.3
# - final energy (eV/atom) = -6.92
data_MgBOs2
_chemical_formula_sum 'Mg4 B4 Os8'
_cell_length_a 5.9407
_cell_length_b 5.9407
_cell_length_c 5.9407
_cell_angle_alpha 90.00
_cell_angle_beta 90.00
_cell_angle_gamma 90.00
_space_group_name_H-M_alt 'F -4 3 m'
_space_group_IT_number 216
_space_group_name_Hall 'F -4 2 3'
loop_
_atom_site_label
_atom_site_type_symbol
_atom_site_fract_x
_atom_site_fract_y
_atom_site_fract_z
Mg1 Mg 0.0000 0.0000 0.0000
B1 B 0.2500 0.2500 0.7500
Os1 Os 0.0000 0.0000 0.5000
Os2 Os 0.2500 0.2500 0.2500